[1]
A relaxed Co2AgRhN crystal, computed with GGA-PBE.

Values from the calculation:
* total energy: -31.80 eV per formula unit
* ΔE_f (raw): 0.189 eV/atom

CIF file:
```
data_Co2AgRhN
_space_group_name_H-M_alt 'P 1'
_space_group_IT_number 1
_space_group_name_Hall 'P 1'
_cell_length_a 3.872
_cell_length_b 3.872
_cell_length_c 4.068
_cell_angle_alpha 90.00
_cell_angle_beta 90.00
_cell_angle_gamma 90.00
loop_
_atom_site_label
_atom_site_type_symbol
_atom_site_fract_x
_atom_site_fract_y
_atom_site_fract_z
Co1 Co 0.000 0.500 0.000
Co2 Co 0.500 0.000 0.000
Ag1 Ag 0.500 0.500 0.500
Rh1 Rh 0.000 0.000 0.500
N1 N 0.000 0.000 0.000
```

***

[2]
A relaxed CoAgS2N crystal, computed with GGA-PBE.

Values from the calculation:
* total energy: -18.15 eV per formula unit
* ΔE_f (raw): 1.678 eV/atom
* energy above the most stable polymorph in this dataset: 1157.1 meV/atom

CIF file:
```
data_CoAgS2N
_space_group_name_H-M_alt 'P 1'
_space_group_IT_number 1
_space_group_name_Hall 'P 1'
_cell_length_a 4.943
_cell_length_b 4.943
_cell_length_c 3.827
_cell_angle_alpha 90.00
_cell_angle_beta 90.00
_cell_angle_gamma 90.00
loop_
_atom_site_label
_atom_site_type_symbol
_atom_site_fract_x
_atom_site_fract_y
_atom_site_fract_z
Ag1 Ag 0.000 0.000 0.000
S1 S 0.500 0.000 0.000
S2 S 0.000 0.500 0.000
N1 N 0.000 0.000 0.500
Co1 Co 0.500 0.500 0.500
```